Run a
The following is a DFT calculation (PBE-GGA) of a geometry-optimized ZrNiMo3 structure.

Calculated values
Crystal system: cubic
DOS(E_F), states/eV/cell: 7.91

Structure (CIF):
```
data_ZrNiMo3
_chemical_formula_sum 'Zr1 Ni1 Mo3'
_cell_length_a 4.7447
_cell_length_b 4.7447
_cell_length_c 4.7447
_cell_angle_alpha 90.00
_cell_angle_beta 90.00
_cell_angle_gamma 90.00
_space_group_name_H-M_alt 'P m -3 m'
_space_group_IT_number 221
_space_group_name_Hall '-P 4 2 3'
loop_
_atom_site_label
_atom_site_type_symbol
_atom_site_fract_x
_atom_site_fract_y
_atom_site_fract_z
Zr1 Zr 0.0000 0.0000 0.0000
Ni1 Ni 0.5000 0.5000 0.5000
Mo1 Mo 0.0000 0.0000 0.5000
```



Run b
The following is a DFT calculation (PBE-GGA) of a geometry-optimized ZrNiMo3 structure.

Calculated values
Crystal system: cubic
DOS(E_F), states/eV/cell: 10.02

Structure (CIF):
```
data_ZrNiMo3
_chemical_formula_sum 'Zr1 Ni1 Mo3'
_cell_length_a 4.5331
_cell_length_b 4.5331
_cell_length_c 4.5331
_cell_angle_alpha 90.00
_cell_angle_beta 90.00
_cell_angle_gamma 90.00
_space_group_name_H-M_alt 'P m -3 m'
_space_group_IT_number 221
_space_group_name_Hall '-P 4 2 3'
loop_
_atom_site_label
_atom_site_type_symbol
_atom_site_fract_x
_atom_site_fract_y
_atom_site_fract_z
Zr1 Zr 0.0000 0.0000 0.0000
Ni1 Ni 0.5000 0.5000 0.5000
Mo1 Mo 0.0000 0.5000 0.5000
```



Pick run b: it beats the second-best structure by 1.290 eV/atom.



Run a
The following is a DFT calculation (PBE-GGA) of a geometry-optimized NpMoP2 structure.

Calculated values
Crystal system: trigonal
DOS(E_F), states/eV/cell: 16.15

Structure (CIF):
```
data_NpMoP2
_chemical_formula_sum 'Np3 Mo3 P6'
_cell_length_a 2.8061
_cell_length_b 2.8061
_cell_length_c 28.7505
_cell_angle_alpha 90.00
_cell_angle_beta 90.00
_cell_angle_gamma 120.00
_space_group_name_H-M_alt 'R -3 m'
_space_group_IT_number 166
_space_group_name_Hall '-R 3 2"'
loop_
_atom_site_label
_atom_site_type_symbol
_atom_site_fract_x
_atom_site_fract_y
_atom_site_fract_z
Np1 Np 0.0000 0.0000 0.0000
Mo1 Mo 0.0000 0.0000 0.5000
P1 P 0.0000 0.0000 0.4140
```



Run b
The following is a DFT calculation (PBE-GGA) of a geometry-optimized NpMoP2 structure.

Calculated values
Crystal system: trigonal
DOS(E_F), states/eV/cell: 18.76

Structure (CIF):
```
data_NpMoP2
_chemical_formula_sum 'Np3 Mo3 P6'
_cell_length_a 3.5601
_cell_length_b 3.5601
_cell_length_c 19.8568
_cell_angle_alpha 90.00
_cell_angle_beta 90.00
_cell_angle_gamma 120.00
_space_group_name_H-M_alt 'R 3 m'
_space_group_IT_number 160
_space_group_name_Hall 'R 3 -2"'
loop_
_atom_site_label
_atom_site_type_symbol
_atom_site_fract_x
_atom_site_fract_y
_atom_site_fract_z
Np1 Np 0.0000 0.0000 0.0000
Mo1 Mo 0.0000 0.0000 0.8259
P1 P 0.0000 0.0000 0.4256
P2 P 0.0000 0.0000 0.5659
```



Pick run b: it beats the second-best structure by 0.804 eV/atom.



Run a
The following is a DFT calculation (PBE-GGA) of a geometry-optimized NpPaMo structure.

Calculated values
Crystal system: trigonal
DOS(E_F), states/eV/cell: 6.25

Structure (CIF):
```
data_NpPaMo
_chemical_formula_sum 'Np1 Pa1 Mo1'
_cell_length_a 4.7403
_cell_length_b 4.7403
_cell_length_c 3.1008
_cell_angle_alpha 90.00
_cell_angle_beta 90.00
_cell_angle_gamma 120.00
_space_group_name_H-M_alt 'P 3 m 1'
_space_group_IT_number 156
_space_group_name_Hall 'P 3 -2"'
loop_
_atom_site_label
_atom_site_type_symbol
_atom_site_fract_x
_atom_site_fract_y
_atom_site_fract_z
Np1 Np 0.0000 0.0000 0.0000
Pa1 Pa 0.3333 0.6667 0.7213
Mo1 Mo 0.6667 0.3333 0.3252
```



Run b
The following is a DFT calculation (PBE-GGA) of a geometry-optimized NpPaMo structure.

Calculated values
Crystal system: tetragonal
DOS(E_F), states/eV/cell: 15.74

Structure (CIF):
```
data_NpPaMo
_chemical_formula_sum 'Np2 Pa2 Mo2'
_cell_length_a 3.4555
_cell_length_b 3.4555
_cell_length_c 10.0985
_cell_angle_alpha 90.00
_cell_angle_beta 90.00
_cell_angle_gamma 90.00
_space_group_name_H-M_alt 'I 4 m m'
_space_group_IT_number 107
_space_group_name_Hall 'I 4 -2'
loop_
_atom_site_label
_atom_site_type_symbol
_atom_site_fract_x
_atom_site_fract_y
_atom_site_fract_z
Np1 Np 0.0000 0.0000 0.0000
Pa1 Pa 0.0000 0.0000 0.3400
Mo1 Mo 0.0000 0.0000 0.6679
```



Pick run b: it beats the second-best structure by 0.020 eV/atom.



Run a
The following is a DFT calculation (PBE-GGA) of a geometry-optimized NpPa2Mo structure.

Calculated values
Crystal system: cubic
DOS(E_F), states/eV/cell: 35.56

Structure (CIF):
```
data_NpPa2Mo
_chemical_formula_sum 'Np4 Pa8 Mo4'
_cell_length_a 6.9833
_cell_length_b 6.9833
_cell_length_c 6.9833
_cell_angle_alpha 90.00
_cell_angle_beta 90.00
_cell_angle_gamma 90.00
_space_group_name_H-M_alt 'F m -3 m'
_space_group_IT_number 225
_space_group_name_Hall '-F 4 2 3'
loop_
_atom_site_label
_atom_site_type_symbol
_atom_site_fract_x
_atom_site_fract_y
_atom_site_fract_z
Np1 Np 0.0000 0.0000 0.0000
Pa1 Pa 0.2500 0.2500 0.2500
Mo1 Mo 0.0000 0.0000 0.5000
```



Run b
The following is a DFT calculation (PBE-GGA) of a geometry-optimized NpPa2Mo structure.

Calculated values
Crystal system: tetragonal
DOS(E_F), states/eV/cell: 10.07

Structure (CIF):
```
data_NpPa2Mo
_chemical_formula_sum 'Np1 Pa2 Mo1'
_cell_length_a 3.4570
_cell_length_b 3.4570
_cell_length_c 7.1741
_cell_angle_alpha 90.00
_cell_angle_beta 90.00
_cell_angle_gamma 90.00
_space_group_name_H-M_alt 'P 4/m m m'
_space_group_IT_number 123
_space_group_name_Hall '-P 4 2'
loop_
_atom_site_label
_atom_site_type_symbol
_atom_site_fract_x
_atom_site_fract_y
_atom_site_fract_z
Np1 Np 0.0000 0.0000 0.0000
Pa1 Pa 0.5000 0.5000 0.2564
Mo1 Mo 0.0000 0.0000 0.5000
```



Pick run b: it beats the second-best structure by 0.046 eV/atom.



Run a
The following is a DFT calculation (PBE-GGA) of a geometry-optimized NpMoRu2 structure.

Calculated values
Crystal system: tetragonal
DOS(E_F), states/eV/cell: 4.57

Structure (CIF):
```
data_NpMoRu2
_chemical_formula_sum 'Np1 Mo1 Ru2'
_cell_length_a 4.0715
_cell_length_b 4.0715
_cell_length_c 3.9016
_cell_angle_alpha 90.00
_cell_angle_beta 90.00
_cell_angle_gamma 90.00
_space_group_name_H-M_alt 'P 4/m m m'
_space_group_IT_number 123
_space_group_name_Hall '-P 4 2'
loop_
_atom_site_label
_atom_site_type_symbol
_atom_site_fract_x
_atom_site_fract_y
_atom_site_fract_z
Np1 Np 0.0000 0.0000 0.0000
Mo1 Mo 0.5000 0.5000 0.0000
Ru1 Ru 0.0000 0.5000 0.5000
```



Run b
The following is a DFT calculation (PBE-GGA) of a geometry-optimized NpMoRu2 structure.

Calculated values
Crystal system: trigonal
DOS(E_F), states/eV/cell: 21.24

Structure (CIF):
```
data_NpMoRu2
_chemical_formula_sum 'Np3 Mo3 Ru6'
_cell_length_a 4.6469
_cell_length_b 4.6469
_cell_length_c 10.8562
_cell_angle_alpha 90.00
_cell_angle_beta 90.00
_cell_angle_gamma 120.00
_space_group_name_H-M_alt 'R -3 m'
_space_group_IT_number 166
_space_group_name_Hall '-R 3 2"'
loop_
_atom_site_label
_atom_site_type_symbol
_atom_site_fract_x
_atom_site_fract_y
_atom_site_fract_z
Np1 Np 0.0000 0.0000 0.0000
Mo1 Mo 0.0000 0.0000 0.5000
Ru1 Ru 0.0000 0.0000 0.2314
```



Pick run a: it beats the second-best structure by 0.102 eV/atom.



Run a
The following is a DFT calculation (PBE-GGA) of a geometry-optimized NpSb2Mo structure.

Calculated values
Crystal system: trigonal
DOS(E_F), states/eV/cell: 20.33

Structure (CIF):
```
data_NpSb2Mo
_chemical_formula_sum 'Np3 Sb6 Mo3'
_cell_length_a 3.1015
_cell_length_b 3.1015
_cell_length_c 32.5810
_cell_angle_alpha 90.00
_cell_angle_beta 90.00
_cell_angle_gamma 120.00
_space_group_name_H-M_alt 'R -3 m'
_space_group_IT_number 166
_space_group_name_Hall '-R 3 2"'
loop_
_atom_site_label
_atom_site_type_symbol
_atom_site_fract_x
_atom_site_fract_y
_atom_site_fract_z
Np1 Np 0.0000 0.0000 0.0000
Sb1 Sb 0.0000 0.0000 0.4159
Mo1 Mo 0.0000 0.0000 0.5000
```



Run b
The following is a DFT calculation (PBE-GGA) of a geometry-optimized NpSb2Mo structure.

Calculated values
Crystal system: tetragonal
DOS(E_F), states/eV/cell: 7.81

Structure (CIF):
```
data_NpSb2Mo
_chemical_formula_sum 'Np1 Sb2 Mo1'
_cell_length_a 3.3717
_cell_length_b 3.3717
_cell_length_c 7.6997
_cell_angle_alpha 90.00
_cell_angle_beta 90.00
_cell_angle_gamma 90.00
_space_group_name_H-M_alt 'P 4/m m m'
_space_group_IT_number 123
_space_group_name_Hall '-P 4 2'
loop_
_atom_site_label
_atom_site_type_symbol
_atom_site_fract_x
_atom_site_fract_y
_atom_site_fract_z
Np1 Np 0.0000 0.0000 0.0000
Sb1 Sb 0.5000 0.5000 0.2911
Mo1 Mo 0.0000 0.0000 0.5000
```



Pick run b: it beats the second-best structure by 0.545 eV/atom.